Density functional theory data (GGA-PBE) for Cs4GeP4Se12 after structural relaxation.

Cell: 15.3789 7.7777 25.3589 Å, 90.00 90.00 90.00°
Fractional positions:
Cs (0.0434, 0.2161, 0.0000)
Cs (0.1250, 0.3000, 0.6048)
Cs (0.1699, 0.7110, 0.8806)
Cs (0.1779, 0.6996, 0.2313)
Cs (0.3221, 0.6996, 0.7313)
Cs (0.3301, 0.7110, 0.3806)
Cs (0.3750, 0.3000, 0.1048)
Cs (0.4566, 0.2161, 0.5000)
Cs (0.5434, 0.7839, 0.0000)
Cs (0.6250, 0.7000, 0.6048)
Cs (0.6699, 0.2890, 0.8806)
Cs (0.6779, 0.3004, 0.2313)
Cs (0.8221, 0.3004, 0.7313)
Cs (0.8301, 0.2890, 0.3806)
Cs (0.8750, 0.7000, 0.1048)
Cs (0.9566, 0.7839, 0.5000)
Ge (0.0748, 0.1625, 0.3088)
Ge (0.4252, 0.1625, 0.8088)
Ge (0.5748, 0.8375, 0.3088)
Ge (0.9252, 0.8375, 0.8088)
P (0.0441, 0.7437, 0.6990)
P (0.0931, 0.2049, 0.1648)
P (0.1002, 0.3498, 0.4394)
P (0.1985, 0.1329, 0.4220)
P (0.3015, 0.1329, 0.9220)
P (0.3998, 0.3498, 0.9394)
P (0.4069, 0.2049, 0.6648)
P (0.4559, 0.7437, 0.1990)
P (0.5441, 0.2563, 0.6990)
P (0.5931, 0.7951, 0.1648)
P (0.6002, 0.6502, 0.4394)
P (0.6985, 0.8671, 0.4220)
P (0.8015, 0.8671, 0.9220)
P (0.8998, 0.6502, 0.9394)
P (0.9069, 0.7951, 0.6648)
P (0.9559, 0.2563, 0.1990)
Se (0.0101, 0.7439, 0.9840)
Se (0.0501, 0.9542, 0.7643)
Se (0.0512, 0.4946, 0.7369)
Se (0.0582, 0.4333, 0.3543)
Se (0.0954, 0.9611, 0.1247)
Se (0.1074, 0.9473, 0.3737)
Se (0.1302, 0.4287, 0.1193)
Se (0.1379, 0.8037, 0.6391)
Se (0.1685, 0.5661, 0.4732)
Se (0.1820, 0.2052, 0.2408)
Se (0.1992, 0.2215, 0.8702)
Se (0.2318, 0.0074, 0.4947)
Se (0.2682, 0.0074, 0.9947)
Se (0.3008, 0.2215, 0.3702)
Se (0.3180, 0.2052, 0.7408)
Se (0.3315, 0.5661, 0.9732)
Se (0.3621, 0.8037, 0.1391)
Se (0.3698, 0.4287, 0.6193)
Se (0.3926, 0.9473, 0.8737)
Se (0.4046, 0.9611, 0.6247)
Se (0.4418, 0.4333, 0.8543)
Se (0.4488, 0.4946, 0.2369)
Se (0.4499, 0.9542, 0.2643)
Se (0.4899, 0.7439, 0.4840)
Se (0.5101, 0.2561, 0.9840)
Se (0.5501, 0.0458, 0.7643)
Se (0.5512, 0.5054, 0.7369)
Se (0.5582, 0.5667, 0.3543)
Se (0.5954, 0.0389, 0.1247)
Se (0.6074, 0.0527, 0.3737)
Se (0.6302, 0.5713, 0.1193)
Se (0.6379, 0.1963, 0.6391)
Se (0.6685, 0.4339, 0.4732)
Se (0.6820, 0.7948, 0.2408)
Se (0.6992, 0.7785, 0.8702)
Se (0.7318, 0.9926, 0.4947)
Se (0.7682, 0.9926, 0.9947)
Se (0.8008, 0.7785, 0.3702)
Se (0.8180, 0.7948, 0.7408)
Se (0.8315, 0.4339, 0.9732)
Se (0.8621, 0.1963, 0.1391)
Se (0.8698, 0.5713, 0.6193)
Se (0.8926, 0.0527, 0.8737)
Se (0.9046, 0.0389, 0.6247)
Se (0.9418, 0.5667, 0.8543)
Se (0.9488, 0.5054, 0.2369)
Se (0.9499, 0.0458, 0.2643)
Se (0.9899, 0.2561, 0.4840)

Summary:
Energy relative to the elements, uncorrected, eV per atom: -0.58
Calculated total energy, eV/atom: -3.981
Calculated volume, Å³/atom: 36.1
Total magnetization, μB/f.u.: 0.0

***

Density functional theory data (GGA-PBE) for CsSiGeP2 after structural relaxation.

Cell: 5.3472 5.3472 5.7370 Å, 90.00 90.00 90.00°
Fractional positions:
Cs (0.0000, 0.0000, 0.0000)
Si (0.5000, 0.5000, 0.5000)
Ge (0.0000, 0.0000, 0.5000)
P (0.0000, 0.5000, 0.0000)
P (0.5000, 0.0000, 0.0000)

Summary:
Energy relative to the elements, uncorrected, eV per atom: 2.25
Calculated total energy, eV/atom: -2.088
Fermi-level density of states, states/eV per cell: 5.261
Calculated volume, Å³/atom: 32.8
Total magnetization, μB/f.u.: 0.0

***

Density functional theory data (GGA-PBE) for Cs2PaGeS6 after structural relaxation.

Cell: 7.6731 7.6731 6.2614 Å, 90.00 90.00 120.00°
Fractional positions:
Cs (0.3333, 0.6667, 0.2761)
Cs (0.6667, 0.3333, 0.7239)
Pa (0.0000, 0.0000, 0.0000)
Ge (0.0000, 0.0000, 0.5000)
S (0.1502, 0.3004, 0.7235)
S (0.1502, 0.8498, 0.7235)
S (0.3004, 0.1502, 0.2765)
S (0.6996, 0.8498, 0.7235)
S (0.8498, 0.1502, 0.2765)
S (0.8498, 0.6996, 0.2765)

Summary:
Energy relative to the elements, uncorrected, eV per atom: -1.00
Calculated total energy, eV/atom: -5.054
Fermi-level density of states, states/eV per cell: 2.917
Calculated volume, Å³/atom: 31.9
Total magnetization, μB/f.u.: 0.0

***

Density functional theory data (GGA-PBE) for CsGe2Pb after structural relaxation.

Cell: 10.7399 10.7399 10.7399 Å, 149.67 149.67 43.43°
Fractional positions:
Cs (0.3750, 0.6250, 0.7500)
Cs (0.6250, 0.3750, 0.2500)
Ge (0.0000, 0.0000, 0.0000)
Ge (0.0000, 0.0000, 0.5000)
Ge (0.0000, 0.5000, 0.0000)
Ge (0.5000, 0.0000, 0.5000)
Pb (0.1250, 0.8750, 0.2500)
Pb (0.8750, 0.1250, 0.7500)

Summary:
Calculated total energy, eV/atom: -3.270
Fermi-level density of states, states/eV per cell: 3.817
Calculated volume, Å³/atom: 39.4
Offset from the most stable computed form, eV per atom: 0.000
Total magnetization, μB/f.u.: 0.0
E_form, meV/atom: 179

***

Density functional theory data (GGA-PBE) for CsGe2Pb2 after structural relaxation.

Cell: 9.2804 9.2804 4.0616 Å, 90.00 90.00 90.00°
Fractional positions:
Cs (0.0000, 0.0000, 0.0000)
Cs (0.5000, 0.5000, 0.0000)
Ge (0.1034, 0.3966, 0.0000)
Ge (0.3966, 0.8966, 0.0000)
Ge (0.6034, 0.1034, 0.0000)
Ge (0.8966, 0.6034, 0.0000)
Pb (0.1346, 0.6346, 0.5000)
Pb (0.3654, 0.1346, 0.5000)
Pb (0.6346, 0.8654, 0.5000)
Pb (0.8654, 0.3654, 0.5000)

Summary:
Calculated total energy, eV/atom: -3.472
Fermi-level density of states, states/eV per cell: 4.177
Calculated volume, Å³/atom: 35.0
Offset from the most stable computed form, eV per atom: 0.052
Total magnetization, μB/f.u.: 0.0
E_form, meV/atom: 29

***

Density functional theory data (GGA-PBE) for Cs2GePb2 after structural relaxation.

Cell: 7.8332 7.8332 6.6020 Å, 90.00 90.00 90.00°
Fractional positions:
Cs (0.1776, 0.3224, 0.0000)
Cs (0.3224, 0.8224, 0.0000)
Cs (0.6776, 0.1776, 0.0000)
Cs (0.8224, 0.6776, 0.0000)
Ge (0.0000, 0.0000, 0.5000)
Ge (0.5000, 0.5000, 0.5000)
Pb (0.1432, 0.6432, 0.5000)
Pb (0.3568, 0.1432, 0.5000)
Pb (0.6432, 0.8568, 0.5000)
Pb (0.8568, 0.3568, 0.5000)

Summary:
Calculated total energy, eV/atom: -2.752
Fermi-level density of states, states/eV per cell: 5.031
Calculated volume, Å³/atom: 40.5
Offset from the most stable computed form, eV per atom: 0.006
Total magnetization, μB/f.u.: 0.0
E_form, meV/atom: -3

***

Density functional theory data (GGA-PBE) for Cs3GePb after structural relaxation.

Cell: 9.3499 8.0286 15.7012 Å, 90.00 92.92 90.00°
Fractional positions:
Cs (0.0092, 0.1809, 0.3792)
Cs (0.0092, 0.8191, 0.8792)
Cs (0.2412, 0.3672, 0.6677)
Cs (0.2412, 0.6328, 0.1677)
Cs (0.3758, 0.1935, 0.9304)
Cs (0.3758, 0.8065, 0.4304)
Cs (0.6242, 0.1935, 0.5696)
Cs (0.6242, 0.8065, 0.0696)
Cs (0.7588, 0.3672, 0.8323)
Cs (0.7588, 0.6328, 0.3323)
Cs (0.9908, 0.1809, 0.1208)
Cs (0.9908, 0.8191, 0.6208)
Ge (0.3737, 0.0629, 0.2090)
Ge (0.3737, 0.9371, 0.7090)
Ge (0.6263, 0.0629, 0.2910)
Ge (0.6263, 0.9371, 0.7910)
Pb (0.4213, 0.3150, 0.3378)
Pb (0.4213, 0.6850, 0.8378)
Pb (0.5787, 0.3150, 0.1622)
Pb (0.5787, 0.6850, 0.6622)

Summary:
Calculated total energy, eV/atom: -2.311
Fermi-level density of states, states/eV per cell: 4.518
Calculated volume, Å³/atom: 58.9
Offset from the most stable computed form, eV per atom: 0.000
Total magnetization, μB/f.u.: 0.0
E_form, meV/atom: -134

***

Density functional theory data (GGA-PBE) for Cs3GePb after structural relaxation.

Cell: 7.3530 7.3530 7.3530 Å, 90.00 90.00 90.00°
Fractional positions:
Cs (0.0000, 0.0000, 0.5000)
Cs (0.0000, 0.5000, 0.0000)
Cs (0.5000, 0.0000, 0.0000)
Ge (0.5000, 0.5000, 0.5000)
Pb (0.0000, 0.0000, 0.0000)

Summary:
Calculated total energy, eV/atom: -1.725
Fermi-level density of states, states/eV per cell: 4.100
Calculated volume, Å³/atom: 79.5
Offset from the most stable computed form, eV per atom: 0.586
Total magnetization, μB/f.u.: 2.0
E_form, meV/atom: 452